(1)
Entry from the Alexandria database: NbMo3N after structural relaxation (PBE).

a = 4.734 Å, b = 4.734 Å, c = 4.734 Å
α = 90.00°, β = 90.00°, γ = 90.00°
Last column: magnetic moment on the atom in μB.
Positions (direct):
Mo1 0.000 0.500 0.000  -0.05
Mo2 0.000 0.000 0.500  -0.02
Mo3 0.500 0.000 0.000  0.04
Nb1 0.000 0.000 0.000  0.04
N1 0.500 0.500 0.500  0.42

raw formation energy = 3.01 eV per atom
space-group type = Pm-3m (221)
offset from the most stable computed form = 3143 meV per atom



(2)
Entry from the Alexandria database: PrZn5Co2 after structural relaxation (PBE).

a = 3.942 Å, b = 6.188 Å, c = 6.188 Å
α = 71.74°, β = 71.43°, γ = 71.43°
Positions (direct):
Pr1 0.000 0.000 0.000
Zn1 0.661 0.157 0.521
Zn2 0.661 0.521 0.157
Zn3 0.339 0.479 0.843
Zn4 0.339 0.843 0.479
Zn5 0.000 0.500 0.500
Co1 0.258 0.242 0.242
Co2 0.742 0.758 0.758

energy relative to the elements = -0.129 eV per atom
space-group type = Immm (71)



(3)
Entry from the Alexandria database: Tm2AlZn3 after structural relaxation (PBE).

a = 3.696 Å, b = 4.301 Å, c = 8.261 Å
α = 105.09°, β = 102.93°, γ = 90.00°
Positions (direct):
Zn1 0.540 0.540 0.081
Zn2 0.699 0.699 0.398
Zn3 0.299 0.799 0.599
Al1 0.461 0.961 0.922
Tm1 0.872 0.372 0.744
Tm2 0.128 0.128 0.257

energy relative to the elements = -0.318 eV per atom
space-group type = Imm2 (44)
offset from the most stable computed form = 89 meV per atom



Number 1: M_tot 0.5 Bohr magnetons per cell. Number 2: M_tot 0.0 Bohr magnetons per cell. Number 3: M_tot 0.0 Bohr magnetons per cell.